Nd7GeI12 | GGA-PBE | relaxed

## Properties
Raw formation energy: -2541 kJ/mol of formula units
Energy: -0.3048 Ry per atom
Space-group type: R-3

Cell: 9.994 9.994 9.994 Å, 107.92 107.92 107.92°
Positions (direct):
Nd 0.000 0.000 0.000
Nd 0.184 0.465 0.394
Nd 0.394 0.184 0.465
Nd 0.465 0.394 0.184
Nd 0.535 0.606 0.816
Nd 0.606 0.816 0.535
Nd 0.816 0.535 0.606
Ge 0.500 0.500 0.500
I 0.029 0.110 0.346
I 0.110 0.346 0.029
I 0.188 0.579 0.731
I 0.269 0.812 0.421
I 0.346 0.029 0.110
I 0.421 0.269 0.812
I 0.579 0.731 0.188
I 0.654 0.971 0.890
I 0.731 0.188 0.579
I 0.812 0.421 0.269
I 0.890 0.654 0.971
I 0.971 0.890 0.654


NdGe2I8 | GGA-PBE | relaxed

## Properties
Raw formation energy: -648 kJ/mol of formula units
Energy: -0.2213 Ry per atom
Space-group type: C2/m

Cell: 8.938 8.938 7.795 Å, 100.25 100.25 81.57°
Positions (direct):
Nd 0.000 0.000 0.000
Ge 0.193 0.193 0.656
Ge 0.807 0.807 0.344
I 0.090 0.726 0.214
I 0.208 0.208 0.285
I 0.274 0.910 0.786
I 0.384 0.384 0.842
I 0.616 0.616 0.158
I 0.726 0.090 0.214
I 0.792 0.792 0.715
I 0.910 0.274 0.786


Nd4Ge2I5 | GGA-PBE | relaxed

## Properties
Raw formation energy: -1099 kJ/mol of formula units
Energy: -0.3170 Ry per atom
Space-group type: Immm

Cell: 11.379 11.379 11.379 Å, 157.99 134.84 50.79°
Positions (direct):
Nd 0.190 0.190 0.000
Nd 0.210 0.500 0.710
Nd 0.790 0.500 0.290
Nd 0.810 0.810 0.000
Ge 0.057 0.057 0.000
Ge 0.943 0.943 0.000
I 0.104 0.330 0.774
I 0.444 0.670 0.774
I 0.500 0.000 0.500
I 0.556 0.330 0.226
I 0.896 0.670 0.226


Nd2GeI | GGA-PBE | relaxed

## Properties
Raw formation energy: -390 kJ/mol of formula units
Energy: -0.3628 Ry per atom
Space-group type: R3m

Cell: 8.256 8.256 8.256 Å, 30.28 30.28 30.28°
Positions (direct):
Nd 0.000 0.000 0.000
Nd 0.201 0.201 0.201
Ge 0.602 0.602 0.602
I 0.432 0.432 0.432


NdGeI | GGA-PBE | relaxed

## Properties
Raw formation energy: -276 kJ/mol of formula units
Energy: -0.3379 Ry per atom
Space-group type: C2/m

Cell: 4.108 4.108 13.718 Å, 98.98 98.98 60.00°
Positions (direct):
Nd 0.233 0.233 0.191
Nd 0.767 0.767 0.809
Ge 0.152 0.152 0.957
Ge 0.848 0.848 0.043
I 0.379 0.379 0.651
I 0.621 0.621 0.349


Nd6GeOs2I3 | GGA-PBE | relaxed

## Properties
Raw formation energy: -800 kJ/mol of formula units
Energy: -0.4203 Ry per atom
Space-group type: C2/m

Cell: 7.402 7.402 8.407 Å, 98.50 98.50 120.03°
Positions (direct):
Nd 0.086 0.438 0.812
Nd 0.211 0.211 0.187
Nd 0.438 0.086 0.812
Nd 0.562 0.914 0.188
Nd 0.789 0.789 0.813
Nd 0.914 0.562 0.188
Ge 0.500 0.500 0.000
Os 0.167 0.833 0.000
Os 0.833 0.167 0.000
I 0.000 0.000 0.500
I 0.337 0.663 0.500
I 0.663 0.337 0.500


Number 5 is which compound?
NdGeI


energy of number 2 (NdGe2I8)?
-0.2213 Ry per atom


raw formation energy of number 2 (NdGe2I8)?
-648 kJ/mol of formula units